i:
This record from Alexandria describes a relaxed structure of MgSn2N2. The functional is PBE.

Properties
- SG: I4/mmm, No. 139

a b c (Å): 4.170 4.170 5.691
angles (deg): 68.51 68.51 90.00
Sites, in units of the cell vectors:
N1 0.750 0.250 0.500
N2 0.250 0.750 0.500
Sn1 0.660 0.660 0.680
Sn2 0.340 0.340 0.320
Mg1 0.000 0.000 0.000



ii:
This record from Alexandria describes a relaxed structure of MgSn2N2. The functional is PBE.

Properties
- SG: P4/mbm, No. 127

a b c (Å): 8.144 8.144 3.412
angles (deg): 90.00 90.00 90.00
Sites, in units of the cell vectors:
N1 0.945 0.445 0.500
N2 0.445 0.055 0.500
N3 0.055 0.555 0.500
N4 0.555 0.945 0.500
Sn1 0.183 0.683 0.000
Sn2 0.817 0.317 0.000
Sn3 0.317 0.183 0.000
Sn4 0.683 0.817 0.000
Mg1 0.000 0.000 0.000
Mg2 0.500 0.500 0.000



Least stable of them? i.